No. 1
# PuUPd

A relaxed PuUPd crystal (PBE, Alexandria).

a b c (Å): 3.5823 3.5823 9.6249
angles (deg): 90.00 90.00 90.00
Space group I4mm (No. 107)
Inequivalent atoms, fractional coordinates:
1 Pu 0.0000 0.0000 0.0000 (multiplicity 2)
2 U 0.0000 0.0000 0.6621 (multiplicity 2)
3 Pd 0.0000 0.0000 0.3235 (multiplicity 2)

Summary:
Crystal system   tetragonal
Final energy   -10.398 eV/atom
Distance to the lowest polymorph of the same formula   0.0 meV/atom

***

No. 2
# Pu6UPd5

A relaxed Pu6UPd5 crystal (PBE, Alexandria).

a b c (Å): 14.7616 5.0215 6.9359
angles (deg): 90.00 92.82 90.00
Space group C2/m (No. 12)
Inequivalent atoms, fractional coordinates:
1 Pu 0.0043 0.0000 0.2620 (multiplicity 4)
2 Pu 0.1553 0.5000 0.2336 (multiplicity 4)
3 Pu 0.1649 0.5000 0.7515 (multiplicity 4)
4 U 0.0000 0.5000 0.0000 (multiplicity 2)
5 Pd 0.0000 0.5000 0.5000 (multiplicity 2)
6 Pd 0.1642 0.0000 0.9908 (multiplicity 4)
7 Pd 0.1848 0.0000 0.5042 (multiplicity 4)

Summary:
Crystal system   monoclinic
Final energy   -10.528 eV/atom

***

No. 3
# PuUPd2

A relaxed PuUPd2 crystal (PBE, Alexandria).

a b c (Å): 4.5538 4.5538 4.0341
angles (deg): 90.00 90.00 90.00
Space group P4/mmm (No. 123)
Inequivalent atoms, fractional coordinates:
1 Pu 0.0000 0.0000 0.0000 (multiplicity 1)
2 U 0.5000 0.5000 0.0000 (multiplicity 1)
3 Pd 0.0000 0.5000 0.5000 (multiplicity 2)

Summary:
Crystal system   tetragonal
Final energy   -9.228 eV/atom
Distance to the lowest polymorph of the same formula   27.1 meV/atom

***

No. 4
# PuUPd2

A relaxed PuUPd2 crystal (PBE, Alexandria).

a b c (Å): 2.9654 2.9654 31.3402
angles (deg): 90.00 90.00 120.00
Space group R-3m (No. 166, hexagonal axes)
Inequivalent atoms, fractional coordinates:
1 Pu 0.0000 0.0000 0.0000 (multiplicity 3)
2 U 0.0000 0.0000 0.5000 (multiplicity 3)
3 Pd 0.0000 0.0000 0.4156 (multiplicity 6)

Summary:
Crystal system   trigonal
Final energy   -8.973 eV/atom
Distance to the lowest polymorph of the same formula   282.5 meV/atom

***

No. 5
# PuUPd6

A relaxed PuUPd6 crystal (PBE, Alexandria).

a b c (Å): 7.0028 7.0028 11.7004
angles (deg): 90.00 90.00 120.00
Space group R-3m (No. 166, hexagonal axes)
Inequivalent atoms, fractional coordinates:
1 Pu 0.0000 0.0000 0.0000 (multiplicity 3)
2 U 0.0000 0.0000 0.5000 (multiplicity 3)
3 Pd 0.0769 0.5384 0.8916 (multiplicity 18)

Summary:
Crystal system   trigonal
Final energy   -7.263 eV/atom
Distance to the lowest polymorph of the same formula   393.7 meV/atom

***

No. 6
# Pu2UPd2

A relaxed Pu2UPd2 crystal (PBE, Alexandria).

a b c (Å): 9.8190 4.6189 8.7036
angles (deg): 90.00 102.69 90.00
Space group C2/m (No. 12)
Inequivalent atoms, fractional coordinates:
1 Pu 0.0108 0.0000 0.3420 (multiplicity 4)
2 Pu 0.1253 0.0000 0.1195 (multiplicity 4)
3 U 0.2350 0.5000 0.2438 (multiplicity 4)
4 Pd 0.0884 0.5000 0.8922 (multiplicity 4)
5 Pd 0.1539 0.5000 0.5552 (multiplicity 4)

Summary:
Crystal system   monoclinic
Final energy   -10.308 eV/atom

***

No. 7
# PuUPd2

A relaxed PuUPd2 crystal (PBE, Alexandria).

a b c (Å): 2.9476 3.9632 7.1884
angles (deg): 90.00 90.08 90.00
Space group P2/m (No. 10)
Inequivalent atoms, fractional coordinates:
1 Pu 0.0000 0.0000 0.0000 (multiplicity 1)
2 U 0.0000 0.0000 0.5000 (multiplicity 1)
3 Pd 0.4992 0.5000 0.2624 (multiplicity 2)

Summary:
Crystal system   monoclinic
Final energy   -9.250 eV/atom
Distance to the lowest polymorph of the same formula   5.2 meV/atom

***

No. 8
# PuUPd2

A relaxed PuUPd2 crystal (PBE, Alexandria).

a b c (Å): 3.7774 3.7774 5.9266
angles (deg): 90.00 90.00 90.00
Space group P4/mmm (No. 123)
Inequivalent atoms, fractional coordinates:
1 Pu 0.0000 0.0000 0.0000 (multiplicity 1)
2 U 0.0000 0.0000 0.5000 (multiplicity 1)
3 Pd 0.5000 0.5000 0.2563 (multiplicity 2)

Summary:
Crystal system   tetragonal
Final energy   -9.255 eV/atom
Distance to the lowest polymorph of the same formula   0.0 meV/atom

***

No. 9
# PuUPd6

A relaxed PuUPd6 crystal (PBE, Alexandria).

a b c (Å): 4.1528 4.1528 8.2916
angles (deg): 90.00 90.00 90.00
Space group P4/mmm (No. 123)
Inequivalent atoms, fractional coordinates:
1 Pu 0.0000 0.0000 0.0000 (multiplicity 1)
2 U 0.0000 0.0000 0.5000 (multiplicity 1)
3 Pd 0.0000 0.5000 0.2562 (multiplicity 4)
4 Pd 0.5000 0.5000 0.0000 (multiplicity 1)
5 Pd 0.5000 0.5000 0.5000 (multiplicity 1)

Summary:
Crystal system   tetragonal
Final energy   -7.657 eV/atom
Distance to the lowest polymorph of the same formula   0.0 meV/atom

***

No. 10
# PuVPd2

A relaxed PuVPd2 crystal (PBE, Alexandria).

a b c (Å): 2.8945 2.8945 8.2071
angles (deg): 90.00 90.00 90.00
Space group P4/mmm (No. 123)
Inequivalent atoms, fractional coordinates:
1 Pu 0.0000 0.0000 0.0000 (multiplicity 1)
2 V 0.0000 0.0000 0.5000 (multiplicity 1)
3 Pd 0.5000 0.5000 0.2903 (multiplicity 2)

Summary:
Crystal system   tetragonal
Final energy   -8.642 eV/atom
Distance to the lowest polymorph of the same formula   0.0 meV/atom

***

No. 11
# PuV2Pd

A relaxed PuV2Pd crystal (PBE, Alexandria).

a b c (Å): 6.3534 6.3534 6.3534
angles (deg): 90.00 90.00 90.00
Space group Fm-3m (No. 225)
Inequivalent atoms, fractional coordinates:
1 Pu 0.0000 0.0000 0.0000 (multiplicity 4)
2 V 0.2500 0.2500 0.2500 (multiplicity 8)
3 Pd 0.0000 0.0000 0.5000 (multiplicity 4)

Summary:
Crystal system   cubic
Final energy   -9.266 eV/atom

***

No. 12
# PuVPd2

A relaxed PuVPd2 crystal (PBE, Alexandria).

a b c (Å): 6.7021 6.7021 6.7021
angles (deg): 90.00 90.00 90.00
Space group Fm-3m (No. 225)
Inequivalent atoms, fractional coordinates:
1 Pu 0.0000 0.0000 0.0000 (multiplicity 4)
2 V 0.0000 0.0000 0.5000 (multiplicity 4)
3 Pd 0.2500 0.2500 0.2500 (multiplicity 8)

Summary:
Crystal system   cubic
Final energy   -8.541 eV/atom
Distance to the lowest polymorph of the same formula   100.6 meV/atom

***

Number 1: V 20.59 Å³/atom, energy of formation -0.13 eV per atom. Number 2: V 21.40 Å³/atom, energy of formation -0.26 eV per atom. Number 3: V 20.91 Å³/atom, energy of formation -0.23 eV per atom. Number 4: V 19.89 Å³/atom, energy of formation 0.03 eV per atom. Number 5: V 20.70 Å³/atom, energy of formation -0.17 eV per atom. Number 6: V 19.25 Å³/atom, energy of formation -0.24 eV per atom. Number 7: V 20.99 Å³/atom, energy of formation -0.25 eV per atom. Number 8: V 21.14 Å³/atom, energy of formation -0.25 eV per atom. Number 9: V 17.87 Å³/atom, energy of formation -0.56 eV per atom. Number 10: V 17.19 Å³/atom, energy of formation -0.18 eV per atom. Number 11: V 16.03 Å³/atom, energy of formation 0.17 eV per atom. Number 12: V 18.81 Å³/atom, energy of formation -0.08 eV per atom.